A relaxed structure of ZrZnGa2Rh, computed with PBE-GGA.

Cell and atoms, written as CIF:
```
data_ZrZnGa2Rh
_chemical_formula_sum 'Zr1 Zn1 Ga2 Rh1'
_symmetry_space_group_name_H-M 'P 4/m m m'
_symmetry_Int_Tables_number 123
_symmetry_space_group_name_Hall '-P 4 2'
_cell_length_a 4.634
_cell_length_b 4.634
_cell_length_c 4.655
_cell_angle_alpha 90.00
_cell_angle_beta 90.00
_cell_angle_gamma 90.00
loop_
_atom_site_label
_atom_site_type_symbol
_atom_site_fract_x
_atom_site_fract_y
_atom_site_fract_z
_atom_site_occupancy
Zr1 Zr 0.000 0.000 0.000 1
Zn1 Zn 0.500 0.500 0.000 1
Ga1 Ga 0.000 0.500 0.500 1
Rh1 Rh 0.500 0.500 0.500 1
```

**DOS at the Fermi energy**: 0.836 states/eV/atom
**E**: -23.1 eV per cell
**Calculated formation energy**: 30.0 meV/atom
**ΔE to the lowest computed polymorph**: 0 meV per atom